{
  "formula": "ZrTlPb2",
  "functional": "GGA-PBE",
  "state": "relaxed",
  "cell": [[3.432, 0.000, 0.000], [0.000, 5.550, 0.000], [0.000, 0.000, 11.462]],
  "species": ["Zr", "Zr", "Tl", "Tl", "Pb", "Pb", "Pb", "Pb"],
  "frac_coords": [[0.000, 0.000, 0.000], [0.500, 0.500, 0.500], [0.000, 0.000, 0.500], [0.500, 0.500, 0.000], [0.000, 0.500, 0.267], [0.000, 0.500, 0.733], [0.500, 0.000, 0.233], [0.500, 0.000, 0.767]],
  "vol_a3_per_cell": 218,
  "e_form_ev_per_atom": 0.09,
  "polymorph_energy_kj_per_mol_atoms": 11.2,
  "magmom_total_mub_per_atom": 0.0000
}